Record 1
The following is a DFT calculation (PBE-GGA) of MgCuP2Cl after structural relaxation.

```
MgCuP2Cl
1.0
4.872 0.000 0.000
0.000 4.872 0.000
0.000 0.000 4.768
Mg Cu P Cl
1 1 2 1
Direct
0.000 0.000 0.000
0.500 0.500 0.500
0.000 0.500 0.000
0.500 0.000 0.000
0.000 0.000 0.500
```

Computed properties:
Its total magnetic moment is 0.01 μB per cell. The excess energy over the best structure of this formula in the dataset comes out at 431 meV/atom. The calculation puts the uncorrected formation energy at 0.74 eV/atom.


Record 2
The following is a DFT calculation (PBE-GGA) of MgCuPCl2 after structural relaxation.

```
MgCuPCl2
1.0
4.551 0.000 0.000
0.000 4.551 0.000
0.000 0.000 6.333
Mg Cu P Cl
1 1 1 2
Direct
0.000 0.000 0.000
0.500 0.500 0.500
0.000 0.000 0.500
0.000 0.500 0.000
0.500 0.000 0.000
```

Computed properties:
Its total magnetic moment is 1.57 μB per cell. The excess energy over the best structure of this formula in the dataset comes out at 78 meV/atom. The calculation puts the uncorrected formation energy at 0.06 eV/atom.